Entry 1:
Material: CaZnSb2I
Method: DFT, PBE
State: optimized geometry

Output
Size of the total moment   0.00 μB/cell
DOS at the Fermi energy   4.69 states/eV/f.u.
Density   4.8 g/cm³
Energy above the lowest structure with this stoichiometry   0.00 eV/f.u.

```
data_CaZnSb2I
_space_group_name_H-M_alt 'P 4/m m m'
_space_group_IT_number 123
_space_group_name_Hall '-P 4 2'
_cell_length_a 5.173
_cell_length_b 5.173
_cell_length_c 6.099
_cell_angle_alpha 90.00
_cell_angle_beta 90.00
_cell_angle_gamma 90.00
loop_
_atom_site_label
_atom_site_type_symbol
_atom_site_fract_x
_atom_site_fract_y
_atom_site_fract_z
Ca1 Ca 0.000 0.000 0.000
Zn1 Zn 0.500 0.500 0.500
Sb1 Sb 0.000 0.500 0.500
I1 I 0.500 0.500 0.000
```

Entry 2:
Material: Ac2CuS2O2
Method: DFT, PBE
State: optimized geometry

Output
Raw total energy   -44.95 eV per cell
Size of the total moment   1.03 μB/cell
DOS at the Fermi energy   5.00 states/eV/f.u.
Density   5.8 g/cm³

```
data_Ac2CuS2O2
_space_group_name_H-M_alt 'P -3 m 1'
_space_group_IT_number 164
_space_group_name_Hall '-P 3 2"'
_cell_length_a 4.2601
_cell_length_b 4.2601
_cell_length_c 11.1140
_cell_angle_alpha 90.00
_cell_angle_beta 90.00
_cell_angle_gamma 120.00
loop_
_atom_site_label
_atom_site_type_symbol
_atom_site_fract_x
_atom_site_fract_y
_atom_site_fract_z
Ac1 Ac 0.3333 0.6667 0.1426
Cu1 Cu 0.0000 0.0000 0.5000
S1 S 0.0000 0.0000 0.3119
O1 O 0.3333 0.6667 0.9182
```

Entry 3:
Material: SrInSn4
Method: DFT, PBE
State: optimized geometry

Output
Size of the total moment   0.00 μB/cell
DOS at the Fermi energy   3.35 states/eV/f.u.
Density   6.3 g/cm³
ΔH_f (0 K)   -0.23 eV per atom
Energy above the lowest structure with this stoichiometry   0.19 eV/f.u.

```
data_SrInSn4
_space_group_name_H-M_alt 'F -4 3 m'
_space_group_IT_number 216
_space_group_name_Hall 'F -4 2 3'
_cell_length_a 8.939
_cell_length_b 8.939
_cell_length_c 8.939
_cell_angle_alpha 90.00
_cell_angle_beta 90.00
_cell_angle_gamma 90.00
loop_
_atom_site_label
_atom_site_type_symbol
_atom_site_fract_x
_atom_site_fract_y
_atom_site_fract_z
Sr1 Sr 0.000 0.000 0.000
In1 In 0.250 0.250 0.250
Sn1 Sn 0.125 0.125 0.625
```

Entry 4:
Material: SrTmMgSn
Method: DFT, PBE
State: optimized geometry

Output
Size of the total moment   0.00 μB/cell
DOS at the Fermi energy   3.04 states/eV/f.u.
Density   5.7 g/cm³
ΔH_f (0 K)   -0.29 eV per atom

```
data_SrTmMgSn
_space_group_name_H-M_alt 'F -4 3 m'
_space_group_IT_number 216
_space_group_name_Hall 'F -4 2 3'
_cell_length_a 7.752
_cell_length_b 7.752
_cell_length_c 7.752
_cell_angle_alpha 90.00
_cell_angle_beta 90.00
_cell_angle_gamma 90.00
loop_
_atom_site_label
_atom_site_type_symbol
_atom_site_fract_x
_atom_site_fract_y
_atom_site_fract_z
Sr1 Sr 0.000 0.000 0.000
Tm1 Tm 0.000 0.000 0.500
Mg1 Mg 0.250 0.250 0.250
Sn1 Sn 0.250 0.250 0.750
```

Entry 5:
Material: Tm2Zn2AgPd5
Method: DFT, PBE
State: optimized geometry

Output
Size of the total moment   0.00 μB/cell
DOS at the Fermi energy   3.42 states/eV/f.u.
Density   10.5 g/cm³
ΔH_f (0 K)   -0.64 eV per atom

```
data_Tm2Zn2AgPd5
_space_group_name_H-M_alt 'P 4/m b m'
_space_group_IT_number 127
_space_group_name_Hall '-P 4 2ab'
_cell_length_a 9.540
_cell_length_b 9.540
_cell_length_c 3.836
_cell_angle_alpha 90.00
_cell_angle_beta 90.00
_cell_angle_gamma 90.00
loop_
_atom_site_label
_atom_site_type_symbol
_atom_site_fract_x
_atom_site_fract_y
_atom_site_fract_z
Tm1 Tm 0.178 0.322 0.000
Zn1 Zn 0.120 0.620 0.000
Ag1 Ag 0.000 0.000 0.000
Pd1 Pd 0.000 0.500 0.500
Pd2 Pd 0.071 0.795 0.500
```

Entry 6:
Material: DyInPdPt
Method: DFT, PBE
State: optimized geometry

Output
Size of the total moment   0.00 μB/cell
DOS at the Fermi energy   3.34 states/eV/f.u.
Density   12.3 g/cm³
ΔH_f (0 K)   -0.89 eV per atom

```
data_DyInPdPt
_space_group_name_H-M_alt 'F -4 3 m'
_space_group_IT_number 216
_space_group_name_Hall 'F -4 2 3'
_cell_length_a 6.789
_cell_length_b 6.789
_cell_length_c 6.789
_cell_angle_alpha 90.00
_cell_angle_beta 90.00
_cell_angle_gamma 90.00
loop_
_atom_site_label
_atom_site_type_symbol
_atom_site_fract_x
_atom_site_fract_y
_atom_site_fract_z
Dy1 Dy 0.000 0.000 0.000
In1 In 0.000 0.000 0.500
Pd1 Pd 0.250 0.250 0.750
Pt1 Pt 0.250 0.250 0.250
```

Entry 7:
Material: AlV2Re2
Method: DFT, PBE
State: optimized geometry

Output
Size of the total moment   0.00 μB/cell
DOS at the Fermi energy   2.58 states/eV/f.u.
Density   11.7 g/cm³
ΔH_f (0 K)   -0.26 eV per atom

```
data_AlV2Re2
_space_group_name_H-M_alt 'C 1 2/m 1'
_space_group_IT_number 12
_cell_length_a 12.679
_cell_length_b 4.237
_cell_length_c 2.675
_cell_angle_alpha 90.00
_cell_angle_beta 98.92
_cell_angle_gamma 90.00
loop_
_space_group_symop_operation_xyz
'x,y,z'
'-x,-y,-z'
'-x,y,-z'
'x,-y,z'
'x+1/2,y+1/2,z'
'-x+1/2,-y+1/2,-z'
'-x+1/2,y+1/2,-z'
'x+1/2,-y+1/2,z'
loop_
_atom_site_label
_atom_site_type_symbol
_atom_site_fract_x
_atom_site_fract_y
_atom_site_fract_z
Al1 Al 0.000 0.000 0.000
V1 V 0.200 0.000 0.791
Re1 Re 0.104 0.500 0.426
```

Entry 8:
Material: Zr2VCo2
Method: DFT, PBE
State: optimized geometry

Output
Size of the total moment   0.00 μB/cell
DOS at the Fermi energy   3.62 states/eV/f.u.
Density   7.3 g/cm³
ΔH_f (0 K)   -0.29 eV per atom
Energy above the lowest structure with this stoichiometry   0.00 eV/f.u.

```
data_Zr2VCo2
_space_group_name_H-M_alt 'C 1 2/m 1'
_space_group_IT_number 12
_cell_length_a 9.045
_cell_length_b 5.225
_cell_length_c 3.714
_cell_angle_alpha 90.00
_cell_angle_beta 114.12
_cell_angle_gamma 90.00
loop_
_space_group_symop_operation_xyz
'x,y,z'
'-x,-y,-z'
'-x,y,-z'
'x,-y,z'
'x+1/2,y+1/2,z'
'-x+1/2,-y+1/2,-z'
'-x+1/2,y+1/2,-z'
'x+1/2,-y+1/2,z'
loop_
_atom_site_label
_atom_site_type_symbol
_atom_site_fract_x
_atom_site_fract_y
_atom_site_fract_z
Zr1 Zr 0.202 0.000 0.201
V1 V 0.000 0.500 0.000
Co1 Co 0.000 0.238 0.500
```